[1]
Below is Nb2ZnBi2 after structural relaxation, with properties calculated at the GGA-PBE level.

POSCAR file:
```
Nb2ZnBi2
1.0
3.795 0.000 0.000
0.000 3.795 0.000
0.000 0.000 17.530
Nb Zn Bi
4 2 4
direct
0.000 0.500 0.250 Nb
0.000 0.500 0.750 Nb
0.500 0.000 0.250 Nb
0.500 0.000 0.750 Nb
0.000 0.000 0.000 Zn
0.500 0.500 0.500 Zn
0.000 0.000 0.390 Bi
0.000 0.000 0.610 Bi
0.500 0.500 0.110 Bi
0.500 0.500 0.890 Bi
```

Energy above the most stable polymorph in this dataset, meV/atom: 141.3
Symmetry: No. 139


[2]
Below is KNi2Sb after structural relaxation, with properties calculated at the GGA-PBE level.

POSCAR file:
```
KNi2Sb
1.0
4.478 0.000 0.000
0.000 4.035 0.000
-1.708 0.000 5.706
K Ni Sb
1 2 1
direct
0.000 0.000 0.000 K
0.250 0.500 0.611 Ni
0.452 0.000 0.525 Ni
0.696 0.500 0.407 Sb
```

Symmetry: No. 6
Total energy, eV/atom: -4.026


[3]
Below is Re4PRh after structural relaxation, with properties calculated at the GGA-PBE level.

POSCAR file:
```
Re4PRh
1.0
0.000 3.651 3.651
3.651 0.000 3.651
3.651 3.651 0.000
Re P Rh
4 1 1
direct
0.125 0.125 0.125 Re
0.125 0.125 0.626 Re
0.125 0.626 0.125 Re
0.626 0.125 0.125 Re
0.500 0.500 0.500 P
0.750 0.750 0.750 Rh
```

Symmetry: No. 216
Total energy, eV/atom: -9.601